Entry 1:
DFT (PBE) results for DyB2W2 after structural relaxation.

E (eV per atom): -9.0288
Symmetry: No. 139
Crystal system: tetragonal

abc: 5.761 5.761 5.761
angles: 142.58 142.58 53.95
Element x y z (fractional)
Dy 0.000 0.000 0.000
B 0.409 0.409 0.000
B 0.591 0.591 0.000
W 0.250 0.750 0.500
W 0.750 0.250 0.500



Entry 2:
DFT (PBE) results for NbCoGeAu after structural relaxation.

Relative energy among the computed polymorphs (eV per atom): 0.000
Symmetry: No. 216
Crystal system: cubic

abc: 4.446 4.446 4.446
angles: 60.00 60.00 60.00
Element x y z (fractional)
Nb 0.000 0.000 0.000
Co 0.500 0.500 0.500
Ge 0.250 0.250 0.250
Au 0.750 0.750 0.750